The following is a DFT calculation (PBE) of CsCdCl3 after structural relaxation.

Values from the calculation:
Its space group is I4/mmm (139). As for the theoretical density: 4.0 g/cm3. The total energy comes out at -29.35 eV/cell.

```
10
Lattice="-3.727 3.727 5.298 3.727 -3.727 5.298 3.727 3.727 -5.298" Properties=species:S:1:pos:R:3 pbc="T T T"
Cd 0.000 0.000 0.000
Cd 0.000 0.000 5.298
Cl 0.000 0.000 2.637
Cl -1.860 1.860 5.298
Cl 1.860 -1.860 5.298
Cl 0.000 0.000 7.959
Cl 1.860 1.860 5.298
Cl 1.867 1.867 0.000
Cs 0.000 3.727 2.649
Cs 3.727 0.000 2.649
```

=====

The following is a DFT calculation (PBE) of CsCdCl3 after structural relaxation.

Values from the calculation:
Its space group is Pm-3m (221). As for the theoretical density: 4.0 g/cm3. The total energy comes out at -14.67 eV/cell.

```
5
Lattice="5.269 0.000 0.000 0.000 5.269 0.000 0.000 0.000 5.269" Properties=species:S:1:pos:R:3 pbc="T T T"
Cd 0.000 0.000 0.000
Cl 2.634 0.000 0.000
Cl 0.000 2.634 0.000
Cl 0.000 0.000 2.634
Cs 2.634 2.634 2.634
```

=====

The following is a DFT calculation (PBE) of CsCd2Cl5 after structural relaxation.

Values from the calculation:
Its space group is P2_1/m (11). As for the theoretical density: 3.5 g/cm3. The total energy comes out at -44.37 eV/cell.

```
16
Lattice="-6.967 4.887 -0.759 -2.064 -3.547 -3.899 -1.981 -7.579 7.944" Properties=species:S:1:pos:R:3 pbc="T T T"
Cd -4.079 0.140 -0.023
Cd -6.861 -2.953 0.154
Cd -4.150 -3.287 3.132
Cd -6.932 -6.380 3.309
Cl -1.928 -0.877 -0.236
Cl -5.778 1.717 -0.558
Cl -5.324 -2.001 -1.526
Cl -1.940 -3.762 2.395
Cl -5.448 -1.326 2.035
Cl -5.563 -4.914 1.251
Cl -9.072 -2.478 0.891
Cl -5.687 -4.239 4.811
Cl -5.233 -7.957 3.844
Cl -9.083 -5.363 3.522
Cs -1.993 -4.343 -1.158
Cs -9.018 -1.898 4.444
```

=====

The following is a DFT calculation (PBE) of CsCdCl3 after structural relaxation.

Values from the calculation:
Its space group is R-3m (166). As for the theoretical density: 3.8 g/cm3. The total energy comes out at -44.18 eV/cell.

```
15
Lattice="3.713 2.144 9.562 -3.713 2.144 9.562 0.000 -4.288 9.562" Properties=species:S:1:pos:R:3 pbc="T T T"
Cd 0.000 0.000 11.065
Cd 0.000 0.000 14.343
Cd 0.000 0.000 17.620
Cl 0.000 2.144 9.562
Cl 0.000 2.103 15.971
Cl 1.821 1.052 12.714
Cl -1.821 1.052 12.714
Cl 1.857 -1.072 9.562
Cl -1.857 -1.072 9.562
Cl 1.821 -1.052 15.971
Cl -1.821 -1.052 15.971
Cl 0.000 -2.103 12.714
Cs 0.000 0.000 0.000
Cs 0.000 0.000 6.312
Cs 0.000 0.000 22.373
```

=====

The following is a DFT calculation (PBE) of CsCdCl3 after structural relaxation.

Values from the calculation:
Its space group is P6_3/mmc (194). As for the theoretical density: 3.9 g/cm3. The total energy comes out at -88.24 eV/cell.

```
30
Lattice="7.460 0.000 0.000 -3.730 6.461 0.000 0.000 0.000 18.633" Properties=species:S:1:pos:R:3 pbc="T T T"
Cd 0.000 0.000 0.000
Cd 3.730 2.153 3.005
Cd 3.730 2.153 6.312
Cd 0.000 0.000 9.317
Cd 0.000 4.307 12.321
Cd 0.000 4.307 15.628
Cl 1.859 1.073 1.518
Cl 5.601 1.073 1.518
Cl 3.730 4.314 1.518
Cl 3.730 0.057 4.658
Cl 1.915 3.202 4.658
Cl 5.546 3.202 4.658
Cl 3.730 4.314 7.798
Cl 1.859 1.073 7.798
Cl 5.601 1.073 7.798
Cl -1.871 5.387 10.835
Cl 1.871 5.387 10.835
Cl 0.000 2.147 10.835
Cl -1.816 3.259 13.975
Cl 1.816 3.259 13.975
Cl 0.000 6.404 13.975
Cl 0.000 2.147 17.115
Cl -1.871 5.387 17.115
Cl 1.871 5.387 17.115
Cs 0.000 4.307 1.607
Cs 0.000 0.000 4.658
Cs 0.000 4.307 7.709
Cs 3.730 2.154 10.924
Cs 0.000 0.000 13.975
Cs 3.730 2.154 17.026
```

=====

The following is a DFT calculation (PBE) of CsCdCl3 after structural relaxation.

Values from the calculation:
Its space group is R3m (160). As for the theoretical density: 3.9 g/cm3. The total energy comes out at -14.68 eV/cell.

```
5
Lattice="0.955 2.798 4.388 5.120 -1.310 -0.262 0.964 4.297 -2.933" Properties=species:S:1:pos:R:3 pbc="T T T"
Cd 3.454 2.839 0.586
Cl 3.928 4.235 2.780
Cl 6.011 2.181 0.454
Cl 3.933 4.985 -0.882
Cs 7.002 5.755 1.187
```

=====

The following is a DFT calculation (PBE) of Cs2CdGeCl6 after structural relaxation.

Values from the calculation:
Its space group is Fm-3m (225). As for the theoretical density: 3.7 g/cm3. The total energy comes out at -32.30 eV/cell.

```
10
Lattice="5.449 -2.249 4.647 -1.616 -1.719 7.126 0.268 -7.143 2.291" Properties=species:S:1:pos:R:3 pbc="T T T"
Cd 0.000 0.000 0.000
Cl 0.221 -3.641 7.079
Cl 3.746 -3.906 5.842
Cl 2.940 -4.763 9.398
Cl 1.161 -6.348 4.667
Cl 3.880 -7.470 6.986
Cl 0.354 -7.205 8.222
Cs 1.025 -2.778 3.516
Cs 3.076 -8.333 10.548
Ge 2.050 -5.555 7.032
```

=====

The following is a DFT calculation (PBE) of Cs2ScCdCl6 after structural relaxation.

Values from the calculation:
The size of the total moment comes out at 0.6 μB/cell. Its space group is Fm-3m (225). As for the theoretical density: 3.4 g/cm3. The total energy comes out at -37.63 eV/cell.

```
10
Lattice="0.000 5.375 5.375 5.375 0.000 5.375 5.375 5.375 0.000" Properties=species:S:1:pos:R:3 pbc="T T T"
Cd 5.375 5.375 5.375
Cl 2.506 5.375 5.375
Cl 5.375 2.506 5.375
Cl 5.375 5.375 8.244
Cl 5.375 5.375 2.506
Cl 5.375 8.244 5.375
Cl 8.244 5.375 5.375
Cs 2.688 2.688 2.688
Cs 8.063 8.063 8.063
Sc 0.000 0.000 0.000
```

=====

The following is a DFT calculation (PBE) of Cs2YCdCl6 after structural relaxation.

Values from the calculation:
The size of the total moment comes out at 0.8 μB/cell. Its space group is Fm-3m (225). As for the theoretical density: 3.4 g/cm3. The total energy comes out at -38.31 eV/cell.

```
10
Lattice="0.000 5.519 5.519 5.519 0.000 5.519 5.519 5.519 0.000" Properties=species:S:1:pos:R:3 pbc="T T T"
Cd 0.000 0.000 0.000
Cl 2.882 5.519 5.519
Cl 5.519 2.882 5.519
Cl 5.519 5.519 8.156
Cl 5.519 5.519 2.882
Cl 5.519 8.156 5.519
Cl 8.156 5.519 5.519
Cs 2.760 2.760 2.760
Cs 8.279 8.279 8.279
Y 5.519 5.519 5.519
```

=====

The following is a DFT calculation (PBE) of K2CdCuCl6 after structural relaxation.

Values from the calculation:
Its space group is Fm-3m (225). As for the theoretical density: 3.1 g/cm3. The total energy comes out at -30.04 eV/cell.

```
10
Lattice="0.000 5.014 5.014 5.014 0.000 5.014 5.014 5.014 0.000" Properties=species:S:1:pos:R:3 pbc="T T T"
Cd 0.000 0.000 0.000
Cl 2.598 5.014 5.014
Cl 5.014 2.598 5.014
Cl 5.014 5.014 7.430
Cl 5.014 5.014 2.598
Cl 5.014 7.430 5.014
Cl 7.430 5.014 5.014
Cu 5.014 5.014 5.014
K 2.507 2.507 2.507
K 7.521 7.521 7.521
```

=====

The following is a DFT calculation (PBE) of Tl2CdCuCl6 after structural relaxation.

Values from the calculation:
Its space group is Fm-3m (225). As for the theoretical density: 5.2 g/cm3. The total energy comes out at -28.75 eV/cell.

```
10
Lattice="-4.088 0.708 5.764 -6.495 -2.870 0.121 -1.321 -5.625 4.130" Properties=species:S:1:pos:R:3 pbc="T T T"
Cd -5.952 -3.893 5.007
Cl -4.986 -1.508 5.399
Cl -6.234 -3.363 2.474
Cl -8.353 -2.996 5.462
Cl -3.551 -4.791 4.552
Cl -5.670 -4.424 7.540
Cl -6.918 -6.279 4.615
Cu 0.000 0.000 0.000
Tl -2.976 -1.947 2.504
Tl -8.928 -5.840 7.511
```

=====

The following is a DFT calculation (PBE) of CdClF after structural relaxation.

Values from the calculation:
Its space group is P4/nmm (129). The energy above the most stable polymorph in this dataset comes out at 23 kJ/mol of formula units. As for the theoretical density: 5.8 g/cm3.

```
6
Lattice="3.785 0.000 0.000 0.000 3.785 0.000 0.000 0.000 6.713" Properties=species:S:1:pos:R:3 pbc="T T T"
Cd 0.000 1.892 1.402
Cd 1.892 0.000 5.310
Cl 1.892 0.000 2.405
Cl 0.000 1.892 4.308
F 0.000 0.000 0.000
F 1.892 1.892 0.000
```

=====

The following is a DFT calculation (PBE) of Cd2ClOF after structural relaxation.

Values from the calculation:
Its space group is Cmme (67). As for the theoretical density: 4.5 g/cm3. The total energy comes out at -34.21 eV/cell.

```
10
Lattice="-5.595 -0.489 3.992 3.008 -4.932 -3.757 3.378 -1.415 4.561" Properties=species:S:1:pos:R:3 pbc="T T T"
Cd -4.034 -1.204 4.681
Cd -0.993 -2.774 1.942
Cd 1.784 -4.061 2.854
Cd 4.825 -5.631 0.115
Cl -3.133 -1.730 2.476
Cl 3.923 -5.105 2.320
F -0.647 -1.355 0.059
F -1.941 -4.065 0.176
O 1.042 -2.062 2.339
O -0.252 -4.773 2.457
```

=====

The following is a DFT calculation (PBE) of Rb2CdFeCl6 after structural relaxation.

Values from the calculation:
The size of the total moment comes out at 8.0 μB/cell. Its space group is R-3m (166). As for the theoretical density: 3.4 g/cm3. The total energy comes out at -70.92 eV/cell.

```
20
Lattice="3.602 2.079 12.063 -3.602 2.079 12.063 0.000 -4.159 12.063" Properties=species:S:1:pos:R:3 pbc="T T T"
Cd 0.000 0.000 14.963
Cd 0.000 0.000 21.224
Cl 0.000 2.037 16.662
Cl 1.870 1.080 13.498
Cl -1.870 1.080 13.498
Cl 0.000 2.159 22.690
Cl 1.764 1.018 19.526
Cl -1.764 1.018 19.526
Cl 1.764 -1.018 16.662
Cl -1.764 -1.018 16.662
Cl 0.000 -2.159 13.498
Cl 1.870 -1.080 22.690
Cl -1.870 -1.080 22.690
Cl 0.000 -2.037 19.526
Fe 0.000 0.000 0.000
Fe 0.000 0.000 18.094
Rb 0.000 0.000 4.523
Rb 0.000 0.000 10.538
Rb 0.000 0.000 25.650
Rb 0.000 0.000 31.665
```

=====

The following is a DFT calculation (PBE) of Tl2CdFeCl6 after structural relaxation.

Values from the calculation:
The size of the total moment comes out at 4.0 μB/cell. Its space group is Fm-3m (225). As for the theoretical density: 5.1 g/cm3. The total energy comes out at -34.00 eV/cell.

```
10
Lattice="0.000 5.063 5.063 5.063 0.000 5.063 5.063 5.063 0.000" Properties=species:S:1:pos:R:3 pbc="T T T"
Cd 0.000 0.000 0.000
Cl 5.063 5.063 7.508
Cl 2.618 5.063 5.063
Cl 5.063 2.618 5.063
Cl 5.063 5.063 2.618
Cl 7.508 5.063 5.063
Cl 5.063 7.508 5.063
Fe 5.063 5.063 5.063
Tl 2.531 2.531 2.531
Tl 7.594 7.594 7.594
```

=====

The following is a DFT calculation (PBE) of CdGa2Cl8 after structural relaxation.

Values from the calculation:
Its space group is C2/m (12). As for the theoretical density: 2.6 g/cm3. The total energy comes out at -33.98 eV/cell.

```
11
Lattice="6.248 -4.448 0.000 6.248 4.448 0.000 -0.668 0.000 6.150" Properties=species:S:1:pos:R:3 pbc="T T T"
Cd 0.000 0.000 0.000
Cl 4.811 -2.732 1.412
Cl 4.811 2.732 1.412
Cl 7.801 0.000 1.478
Cl 2.053 0.000 1.764
Cl 9.774 0.000 4.385
Cl 4.026 0.000 4.672
Cl 7.017 -2.732 4.737
Cl 7.017 2.732 4.737
Ga 9.827 0.000 2.166
Ga 2.001 0.000 3.984
```

=====

The following is a DFT calculation (PBE) of GdCdH2Cl2O2 after structural relaxation.

Values from the calculation:
The size of the total moment comes out at 0.3 μB/cell. Its space group is P3m1 (156). As for the theoretical density: 4.6 g/cm3. The total energy comes out at -37.92 eV/cell.

```
8
Lattice="-2.843 -2.639 -0.638 3.749 -0.939 -0.715 0.979 -3.364 9.551" Properties=species:S:1:pos:R:3 pbc="T T T"
Cd 0.019 -0.067 0.189
Cl 0.359 -1.234 3.504
Cl 0.133 -4.747 6.929
Gd -0.120 -3.877 4.462
H 1.721 -2.085 0.955
H 2.224 -3.814 5.864
O 1.626 -1.759 0.031
O 2.129 -3.487 4.936
```

=====

The following is a DFT calculation (PBE) of K2CdGeCl6 after structural relaxation.

Values from the calculation:
Its space group is Fm-3m (225). As for the theoretical density: 2.8 g/cm3. The total energy comes out at -32.09 eV/cell.

```
10
Lattice="0.000 5.235 5.235 5.235 0.000 5.235 5.235 5.235 0.000" Properties=species:S:1:pos:R:3 pbc="T T T"
Cd 0.000 0.000 0.000
Cl 5.235 2.624 5.235
Cl 2.624 5.235 5.235
Cl 5.235 5.235 7.847
Cl 5.235 5.235 2.624
Cl 5.235 7.847 5.235
Cl 7.847 5.235 5.235
Ge 5.235 5.235 5.235
K 2.618 2.618 2.618
K 7.853 7.853 7.853
```

=====

The following is a DFT calculation (PBE) of KCd3H8Cl7O4 after structural relaxation.

Values from the calculation:
Its space group is P2_1/m (11). As for the theoretical density: 3.1 g/cm3. The total energy comes out at -179.38 eV/cell.

```
46
Lattice="6.683 0.000 0.000 0.000 16.033 0.000 -0.221 0.000 6.999" Properties=species:S:1:pos:R:3 pbc="T T T"
Cd 3.341 0.000 0.000
Cd 3.341 8.016 0.000
Cd 0.007 1.545 1.155
Cd 0.007 6.471 1.155
Cd 6.455 9.561 5.844
Cd 6.455 14.488 5.844
Cl 4.491 10.306 0.261
Cl 4.491 13.743 0.261
Cl 5.852 4.008 0.984
Cl 1.104 8.909 1.200
Cl 1.104 15.140 1.200
Cl 4.488 0.758 2.291
Cl 4.488 7.258 2.291
Cl 1.975 8.775 4.708
Cl 1.975 15.275 4.708
Cl 5.359 0.893 5.799
Cl 5.359 7.124 5.799
Cl 0.610 12.025 6.015
Cl 1.971 2.290 6.738
Cl 1.971 5.727 6.738
H 6.006 12.025 1.584
H 2.695 11.253 1.673
H 2.695 12.796 1.673
H 0.705 12.025 2.353
H 5.775 10.633 3.271
H 5.775 13.416 3.271
H 5.027 9.213 3.368
H 5.027 14.836 3.368
H 1.435 1.197 3.631
H 1.435 6.820 3.631
H 0.687 2.617 3.728
H 0.687 5.400 3.728
H 5.758 4.008 4.646
H 3.768 3.237 5.326
H 3.768 4.780 5.326
H 0.456 4.008 5.415
K 3.061 4.008 2.266
K 3.401 12.025 4.733
O 2.400 12.025 2.204
O 6.391 12.025 2.485
O 1.198 2.007 3.116
O 1.198 6.009 3.116
O 5.264 10.023 3.883
O 5.264 14.026 3.883
O 0.071 4.008 4.514
O 4.062 4.008 4.795
```